(1)
First-principles (GGA-PBE) data for a relaxed AcSm2In crystal, as listed in Alexandria.

Values from the calculation:
calculated volume = 131 Å³/cell
DOS(E_F) = 7.19 states/eV/cell
theoretical density = 8.2 Mg/m³
E_tot = -4.28 eV/atom
formation energy from the elements = -0.208 eV/atom
excess energy over the best structure of this formula in the dataset = 15 meV/atom

The structure in CIF format:
```
data_AcSm2In
_cell_length_a 5.090
_cell_length_b 5.090
_cell_length_c 5.042
_cell_angle_alpha 90.00
_cell_angle_beta 90.00
_cell_angle_gamma 90.00
_symmetry_space_group_name_H-M 'P 4/m m m'
_symmetry_Int_Tables_number 123
_symmetry_space_group_name_Hall '-P 4 2'
loop_
_atom_site_label
_atom_site_type_symbol
_atom_site_fract_x
_atom_site_fract_y
_atom_site_fract_z
_atom_site_occupancy
Ac1 Ac 0.000 0.000 0.000 1
Sm1 Sm 0.000 0.500 0.500 1
In1 In 0.500 0.500 0.000 1
```

(2)
First-principles (GGA-PBE) data for a relaxed NaCe2F8 crystal, as listed in Alexandria.

Values from the calculation:
calculated volume = 322 Å³/cell
DOS(E_F) = 15.25 states/eV/cell
theoretical density = 4.7 Mg/m³
E_tot = -6.27 eV/atom
excess energy over the best structure of this formula in the dataset = 0 meV/atom

The structure in CIF format:
```
data_NaCe2F8
_cell_length_a 11.122
_cell_length_b 7.384
_cell_length_c 4.147
_cell_angle_alpha 90.00
_cell_angle_beta 109.06
_cell_angle_gamma 90.00
_symmetry_space_group_name_H-M 'C 1 2/m 1'
_symmetry_Int_Tables_number 12
loop_
_symmetry_equiv_pos_as_xyz
'x,y,z'
'-x,-y,-z'
'-x,y,-z'
'x,-y,z'
'x+1/2,y+1/2,z'
'-x+1/2,-y+1/2,-z'
'-x+1/2,y+1/2,-z'
'x+1/2,-y+1/2,z'
loop_
_atom_site_label
_atom_site_type_symbol
_atom_site_fract_x
_atom_site_fract_y
_atom_site_fract_z
_atom_site_occupancy
Na1 Na 0.000 0.000 0.000 1
Ce1 Ce 0.179 0.500 0.418 1
F1 F 0.058 0.500 0.804 1
F2 F 0.131 0.202 0.386 1
F3 F 0.212 0.000 0.971 1
```

(3)
First-principles (GGA-PBE) data for a relaxed Cd3GaPb crystal, as listed in Alexandria.

Values from the calculation:
calculated volume = 191 Å³/cell
DOS(E_F) = 3.65 states/eV/cell
theoretical density = 5.3 Mg/m³
E_tot = -1.35 eV/atom
formation energy from the elements = 0.541 eV/atom
excess energy over the best structure of this formula in the dataset = 480 meV/atom

The structure in CIF format:
```
data_Cd3GaPb
_cell_length_a 5.758
_cell_length_b 5.758
_cell_length_c 5.758
_cell_angle_alpha 90.00
_cell_angle_beta 90.00
_cell_angle_gamma 90.00
_symmetry_space_group_name_H-M 'P m -3 m'
_symmetry_Int_Tables_number 221
_symmetry_space_group_name_Hall '-P 4 2 3'
loop_
_atom_site_label
_atom_site_type_symbol
_atom_site_fract_x
_atom_site_fract_y
_atom_site_fract_z
_atom_site_occupancy
Cd1 Cd 0.000 0.000 0.500 1
Ga1 Ga 0.500 0.500 0.500 1
Pb1 Pb 0.000 0.000 0.000 1
```

(4)
First-principles (GGA-PBE) data for a relaxed Ac6Zn5Sn crystal, as listed in Alexandria.

Values from the calculation:
calculated volume = 739 Å³/cell
DOS(E_F) = 25.42 states/eV/cell
theoretical density = 8.1 Mg/m³
E_tot = -3.23 eV/atom
formation energy from the elements = -0.307 eV/atom

The structure in CIF format:
```
data_Ac6Zn5Sn
_cell_length_a 9.658
_cell_length_b 16.762
_cell_length_c 5.587
_cell_angle_alpha 90.00
_cell_angle_beta 125.25
_cell_angle_gamma 90.00
_symmetry_space_group_name_H-M 'C 1 2/m 1'
_symmetry_Int_Tables_number 12
loop_
_symmetry_equiv_pos_as_xyz
'x,y,z'
'-x,-y,-z'
'-x,y,-z'
'x,-y,z'
'x+1/2,y+1/2,z'
'-x+1/2,-y+1/2,-z'
'-x+1/2,y+1/2,-z'
'x+1/2,-y+1/2,z'
loop_
_atom_site_label
_atom_site_type_symbol
_atom_site_fract_x
_atom_site_fract_y
_atom_site_fract_z
_atom_site_occupancy
Ac1 Ac 0.245 0.000 0.246 1
Ac2 Ac 0.248 0.169 0.748 1
Zn1 Zn 0.000 0.000 0.500 1
Zn2 Zn 0.000 0.167 0.000 1
Zn3 Zn 0.000 0.332 0.500 1
Sn1 Sn 0.000 0.500 0.000 1
```

(5)
First-principles (GGA-PBE) data for a relaxed PSe crystal, as listed in Alexandria.

Values from the calculation:
calculated volume = 215 Å³/cell
DOS(E_F) = 8.77 states/eV/cell
theoretical density = 3.4 Mg/m³
E_tot = -3.79 eV/atom
excess energy over the best structure of this formula in the dataset = 733 meV/atom

The structure in CIF format:
```
data_PSe
_cell_length_a 5.988
_cell_length_b 5.988
_cell_length_c 5.988
_cell_angle_alpha 90.00
_cell_angle_beta 90.00
_cell_angle_gamma 90.00
_symmetry_space_group_name_H-M 'F -4 3 m'
_symmetry_Int_Tables_number 216
_symmetry_space_group_name_Hall 'F -4 2 3'
loop_
_atom_site_label
_atom_site_type_symbol
_atom_site_fract_x
_atom_site_fract_y
_atom_site_fract_z
_atom_site_occupancy
P1 P 0.000 0.000 0.000 1
Se1 Se 0.250 0.250 0.750 1
```

Repeat the second record exactly.
First-principles (GGA-PBE) data for a relaxed NaCe2F8 crystal, as listed in Alexandria.

Values from the calculation:
calculated volume = 322 Å³/cell
DOS(E_F) = 15.25 states/eV/cell
theoretical density = 4.7 Mg/m³
E_tot = -6.27 eV/atom
excess energy over the best structure of this formula in the dataset = 0 meV/atom

The structure in CIF format:
```
data_NaCe2F8
_cell_length_a 11.122
_cell_length_b 7.384
_cell_length_c 4.147
_cell_angle_alpha 90.00
_cell_angle_beta 109.06
_cell_angle_gamma 90.00
_symmetry_space_group_name_H-M 'C 1 2/m 1'
_symmetry_Int_Tables_number 12
loop_
_symmetry_equiv_pos_as_xyz
'x,y,z'
'-x,-y,-z'
'-x,y,-z'
'x,-y,z'
'x+1/2,y+1/2,z'
'-x+1/2,-y+1/2,-z'
'-x+1/2,y+1/2,-z'
'x+1/2,-y+1/2,z'
loop_
_atom_site_label
_atom_site_type_symbol
_atom_site_fract_x
_atom_site_fract_y
_atom_site_fract_z
_atom_site_occupancy
Na1 Na 0.000 0.000 0.000 1
Ce1 Ce 0.179 0.500 0.418 1
F1 F 0.058 0.500 0.804 1
F2 F 0.131 0.202 0.386 1
F3 F 0.212 0.000 0.971 1
```

Q: The lowest calculated volume belongs to which entry?
A: AcSm2In

Q: What is the theoretical density in the fifth record?
A: 3.4 Mg/m³